1.
Entry from OQMD via LeMat-Bulk: a relaxed Fe2BiIr crystal (GGA-PBE).

E_tot, eV per atom: -6.968
Space-group type: F-43m, No. 216

extended XYZ file:
```
4
Lattice="0.000 3.137 3.137 3.137 0.000 3.137 3.137 3.137 0.000" Properties=species:S:1:pos:R:3 pbc="T T T"
Fe 4.705 4.705 4.705
Fe 0.000 0.000 0.000
Ir 1.568 1.568 1.568
Bi 3.137 3.137 3.137
```

=====

2.
Entry from OQMD via LeMat-Bulk: a relaxed ZnS crystal (GGA-PBE).

E_tot, eV per atom: -3.172
Space-group type: P6_3/mmc, No. 194

extended XYZ file:
```
4
Lattice="-0.889 -0.001 -3.505 -2.245 -1.451 2.435 -2.644 5.214 0.670" Properties=species:S:1:pos:R:3 pbc="T T T"
S -3.324 3.426 -1.023
S -2.454 0.336 0.623
Zn 0.000 0.000 0.000
Zn -1.322 2.607 0.335
```

=====

3.
Entry from OQMD via LeMat-Bulk: a relaxed Pr2GdCd3CuPt2 crystal (GGA-PBE).

E_tot, eV per atom: -4.339
Space-group type: Amm2, No. 38
Energy of formation, eV per atom: -0.704

extended XYZ file:
```
9
Lattice="-2.306 -2.677 -1.760 4.049 -5.663 3.307 -6.149 2.923 3.612" Properties=species:S:1:pos:R:3 pbc="T T T"
Cu -0.006 -0.008 0.020
Cd -2.643 -0.641 0.011
Cd -0.182 -2.713 -0.062
Cd -2.739 -3.408 4.345
Pt -0.538 -4.099 2.513
Pt -3.858 -1.304 2.612
Gd -0.869 -1.133 2.861
Pr -3.605 1.714 2.117
Pr 2.374 -3.320 1.939
```

=====

4.
Entry from OQMD via LeMat-Bulk: a relaxed CdAg2I4 crystal (GGA-PBE).

E_tot, eV per atom: -2.234
Space-group type: I-42m, No. 121

extended XYZ file:
```
7
Lattice="-2.135 1.322 7.512 -7.804 -1.151 0.708 5.712 -4.513 -3.119" Properties=species:S:1:pos:R:3 pbc="T T T"
Ag -0.696 -1.553 4.251
Ag -3.531 -2.789 0.849
I -5.788 -1.999 5.550
I -0.782 -2.302 1.489
I -5.145 -0.523 1.524
I -2.450 0.653 4.758
Cd 0.000 0.000 0.000
```

=====

5.
Entry from OQMD via LeMat-Bulk: a relaxed TlTe4OsAu3 crystal (GGA-PBE).

E_tot, eV per atom: -3.782
Space-group type: P-43m, No. 215

extended XYZ file:
```
9
Lattice="6.673 0.000 0.000 0.000 6.673 0.000 0.000 0.000 6.673" Properties=species:S:1:pos:R:3 pbc="T T T"
Au 3.336 0.000 0.000
Au 0.000 0.000 3.336
Au 0.000 3.336 0.000
Os 0.000 0.000 0.000
Te 5.191 5.191 5.191
Te 5.191 1.482 1.482
Te 1.482 5.191 1.482
Te 1.482 1.482 5.191
Tl 3.336 3.336 3.336
```

=====

6.
Entry from OQMD via LeMat-Bulk: a relaxed CsIrNO crystal (GGA-PBE).

E_tot, eV per atom: -5.891
Space-group type: Pmc2_1, No. 26
Energy above the lowest structure with this stoichiometry, meV/atom: 95

extended XYZ file:
```
8
Lattice="-1.722 -2.983 0.000 0.000 0.000 6.613 -6.060 3.499 0.000" Properties=species:S:1:pos:R:3 pbc="T T T"
Ir -6.372 1.690 3.268
Ir -1.411 -1.175 6.575
O -1.613 -1.058 1.945
O -6.170 1.573 5.251
N -1.182 0.683 6.254
N -4.878 2.816 2.947
Cs -3.879 2.239 0.132
Cs -2.181 1.259 3.439
```